# 1
4
Lattice="2.918 0.000 0.000 0.000 4.581 0.000 -1.459 -2.290 6.269" Properties=species:S:1:pos:R:3 comment="MnIn2Hg, single point on PBEsol structure, DFT SCAN" e_form_ev_per_atom=0.00 sg="Imm2, No. 44" magmom_total_mub_per_cell=3.50 n_ef_per_ev_fu=1.61 pbc="T T T"
Hg 1.459 0.000 3.906
In 1.459 2.290 6.228
In 0.000 2.290 2.385
Mn 1.459 2.290 0.019

---

# 2
4
Lattice="-1.921 -1.235 -2.051 0.508 -2.781 1.198 -6.116 1.071 5.084" Properties=species:S:1:pos:R:3 comment="MnBeTl2, single point on PBEsol structure, DFT SCAN" e_form_ev_per_atom=0.27 sg="P4mm, No. 99" magmom_total_mub_per_cell=3.72 n_ef_per_ev_fu=1.38 pbc="T T T"
Be -3.462 0.606 2.877
Tl -5.773 1.011 4.798
Tl -2.562 -1.683 1.115
Mn -4.907 -1.272 3.065

---

# 3
5
Lattice="3.597 0.000 0.000 0.000 4.756 0.000 0.000 0.000 4.756" Properties=species:S:1:pos:R:3 comment="BiP2SO, single point on PBEsol structure, DFT SCAN" sg="P4/mmm, No. 123" magmom_total_mub_per_cell=0.00 formation_energy_uncorrected_mev_per_atom=399.6 n_ef_per_ev_fu=2.50 pbc="T T T"
P 0.000 0.000 2.378
P 0.000 2.378 0.000
S 0.000 0.000 0.000
Bi 1.799 2.378 2.378
O 1.799 0.000 0.000

---

# 4
6
Lattice="-3.828 3.969 -1.054 -4.666 -1.285 -2.845 -4.955 -0.108 2.636" Properties=species:S:1:pos:R:3 comment="LiSe4Cl, single point on PBEsol structure, DFT SCAN" sg="F-43m, No. 216" magmom_total_mub_per_cell=0.00 formation_energy_uncorrected_mev_per_atom=11.0 n_ef_per_ev_fu=5.48 pbc="T T T"
Cl -10.086 1.932 -0.947
Li 0.000 0.000 0.000
Se -5.051 0.967 -0.474
Se -7.516 0.913 0.838
Se -6.956 2.942 -0.999
Se -7.373 0.328 -1.890

---

# 5
4
Lattice="3.624 0.000 0.000 0.000 3.624 0.000 0.000 0.000 5.885" Properties=species:S:1:pos:R:3 comment="Sc2CoBr, single point on PBEsol structure, DFT SCAN" sg="P4mm, No. 99" magmom_total_mub_per_cell=0.00 formation_energy_uncorrected_mev_per_atom=-337.4 n_ef_per_ev_fu=4.06 pbc="T T T"
Br 0.000 0.000 2.538
Co 1.812 1.812 5.251
Sc 0.000 0.000 5.263
Sc 1.812 1.812 1.661

---

# 6
5
Lattice="-0.590 3.305 -2.695 -3.244 -2.114 -1.882 -3.114 1.995 3.128" Properties=species:S:1:pos:R:3 comment="NaOs2SCl, single point on PBEsol structure, DFT SCAN" sg="P4/mmm, No. 123" magmom_total_mub_per_cell=1.75 formation_energy_uncorrected_mev_per_atom=1512.8 n_ef_per_ev_fu=3.18 pbc="T T T"
Na -1.557 0.997 1.564
S -3.474 1.593 -0.724
Os -1.622 -1.057 -0.941
Os -0.295 1.652 -1.347
Cl 0.000 0.000 0.000

---

# 7
5
Lattice="-0.126 3.820 -1.036 -3.931 2.432 1.874 2.382 2.998 3.197" Properties=species:S:1:pos:R:3 comment="LaOs4, single point on PBEsol structure, DFT SCAN" e_form_ev_per_atom=0.67 sg="I4/m, No. 87" magmom_total_mub_per_cell=0.00 n_ef_per_ev_fu=5.15 pbc="T T T"
La 0.000 0.000 0.000
Os -1.803 4.369 1.192
Os -1.763 6.761 2.438
Os 0.127 4.881 2.842
Os 0.088 2.489 1.597

---

# 8
4
Lattice="2.652 0.000 0.000 0.000 3.480 0.000 0.000 0.000 7.363" Properties=species:S:1:pos:R:3 comment="KFeCu2, single point on PBEsol structure, DFT SCAN" e_form_ev_per_atom=0.48 sg="Pmmm, No. 47" magmom_total_mub_per_cell=2.84 n_ef_per_ev_fu=2.00 pbc="T T T"
Cu 0.000 0.000 2.470
Cu 0.000 0.000 4.893
Fe 1.326 1.740 3.682
K 1.326 1.740 0.000

---

# 9
4
Lattice="2.689 0.000 0.000 0.000 3.456 0.000 0.000 0.000 5.449" Properties=species:S:1:pos:R:3 comment="MnCo2Au, single point on PBEsol structure, DFT SCAN" e_form_ev_per_atom=-0.09 sg="Pmm2, No. 25" magmom_total_mub_per_cell=7.20 n_ef_per_ev_fu=2.50 pbc="T T T"
Au 1.344 1.728 4.107
Co 0.000 0.000 0.213
Co 1.344 1.728 1.284
Mn 0.000 0.000 2.569

---

# 10
22
Lattice="7.622 0.000 0.000 -2.541 7.186 0.000 -2.541 -3.593 6.223" Properties=species:S:1:pos:R:3 comment="Y3Al2Ni6, single point on PBEsol structure, DFT SCAN" e_form_ev_per_atom=-0.58 sg="Im-3m, No. 229" magmom_total_mub_per_cell=0.00 n_ef_per_ev_fu=6.02 pbc="T T T"
Y 1.483 2.097 0.000
Y 1.483 -1.048 1.816
Y 3.599 5.089 0.000
Y -3.599 2.545 4.407
Y 3.599 -2.545 4.407
Y -1.483 1.048 1.816
Al 3.811 0.000 0.000
Al -1.270 -1.796 3.112
Al 1.270 1.796 3.112
Al -1.270 3.593 0.000
Ni 0.870 4.774 0.000
Ni 0.870 -2.387 4.134
Ni 4.211 -1.206 2.089
Ni 2.541 -0.025 4.134
Ni -0.870 2.387 4.134
Ni 2.541 3.593 2.046
Ni -2.541 3.568 2.089
Ni 0.000 3.618 2.089
Ni 3.411 1.206 2.089
Ni 4.211 2.412 0.000
Ni -2.541 0.025 4.134
Ni 0.000 0.000 4.178

---

# 11
4
Lattice="3.180 0.000 0.000 0.000 3.180 0.000 0.000 0.000 6.035" Properties=species:S:1:pos:R:3 comment="Zr2WC, single point on PBEsol structure, DFT SCAN" e_form_ev_per_atom=0.29 sg="P4/mmm, No. 123" magmom_total_mub_per_cell=0.00 n_ef_per_ev_fu=2.21 pbc="T T T"
C 1.590 1.590 0.000
Zr 0.000 0.000 4.729
Zr 0.000 0.000 1.307
W 1.590 1.590 3.018

---

# 12
5
Lattice="5.305 0.000 0.000 0.000 5.305 0.000 0.000 0.000 5.305" Properties=species:S:1:pos:R:3 comment="NaTe3Au, single point on PBEsol structure, DFT SCAN" sg="Pm-3m, No. 221" magmom_total_mub_per_cell=0.00 formation_energy_uncorrected_mev_per_atom=903.7 n_ef_per_ev_fu=5.09 pbc="T T T"
Na 0.000 0.000 0.000
Te 0.000 2.653 0.000
Te 0.000 0.000 2.653
Te 2.653 0.000 0.000
Au 2.653 2.653 2.653

---

# 13
4
Lattice="-0.691 -4.209 2.142 3.209 -1.640 3.129 -1.068 -0.165 4.649" Properties=species:S:1:pos:R:3 comment="BeZnSn2, single point on PBEsol structure, DFT SCAN" e_form_ev_per_atom=0.52 sg="Fm-3m, No. 225" magmom_total_mub_per_cell=0.00 n_ef_per_ev_fu=1.65 pbc="T T T"
Be 0.000 0.000 0.000
Zn 0.725 -3.007 4.960
Sn 0.362 -1.504 2.480
Sn 1.087 -4.511 7.440

---

# 14
7
Lattice="3.856 0.000 0.000 1.928 3.340 0.000 1.928 1.113 8.980" Properties=species:S:1:pos:R:3 comment="Th3N4, single point on PBEsol structure, DFT SCAN" sg="R-3m, No. 166" magmom_total_mub_per_cell=0.00 formation_energy_uncorrected_mev_per_atom=-1828.7 n_ef_per_ev_fu=0.00 pbc="T T T"
Th 0.000 0.000 0.000
Th 1.928 1.113 2.991
Th 5.784 3.340 5.989
N 1.928 1.113 5.413
N 5.784 3.340 3.566
N 3.856 2.226 7.802
N 3.856 2.226 1.178

---

# 15
5
Lattice="4.685 0.000 0.000 0.000 4.685 0.000 0.000 0.000 4.685" Properties=species:S:1:pos:R:3 comment="LaPtRh3, single point on PBEsol structure, DFT SCAN" e_form_ev_per_atom=1.41 sg="Pm-3m, No. 221" magmom_total_mub_per_cell=0.91 n_ef_per_ev_fu=5.18 pbc="T T T"
Rh 0.000 2.342 0.000
Rh 0.000 0.000 2.342
Rh 2.342 0.000 0.000
Pt 2.342 2.342 2.342
La 0.000 0.000 0.000

---

# 16
4
Lattice="-0.418 -1.574 -2.753 0.632 -4.382 2.409 -4.996 0.437 0.509" Properties=species:S:1:pos:R:3 comment="BeAgSb2, single point on PBEsol structure, DFT SCAN" sg="Cmmm, No. 65" magmom_total_mub_per_cell=0.00 formation_energy_uncorrected_mev_per_atom=507.2 n_ef_per_ev_fu=1.55 pbc="T T T"
Sb 0.316 -2.191 1.204
Sb -2.498 0.219 0.254
Ag -0.209 -0.787 -1.377
Be -2.391 -2.759 0.082

---

# 17
5
Lattice="-2.149 -0.122 -2.417 -0.103 -3.225 0.254 -5.704 2.368 7.121" Properties=species:S:1:pos:R:3 comment="NaMn2Sn2, single point on PBEsol structure, DFT SCAN" e_form_ev_per_atom=0.23 sg="I4/mmm, No. 139" magmom_total_mub_per_cell=0.00 n_ef_per_ev_fu=3.22 pbc="T T T"
Na 0.000 0.000 0.000
Mn -3.467 -1.265 3.147
Mn -4.490 0.287 1.811
Sn -5.034 0.512 4.451
Sn -2.923 -1.490 0.508

---

# 18
4
Lattice="4.509 0.000 0.000 0.000 4.509 0.000 -2.254 -2.254 5.406" Properties=species:S:1:pos:R:3 comment="YTlTe2, single point on PBEsol structure, DFT SCAN" sg="I-4m2, No. 119" magmom_total_mub_per_cell=0.00 formation_energy_uncorrected_mev_per_atom=-743.2 n_ef_per_ev_fu=0.41 pbc="T T T"
Te 0.000 0.000 0.000
Te 2.254 0.000 2.703
Tl 2.254 2.254 0.000
Y 0.000 2.254 2.703

---

# 19
4
Lattice="-2.153 1.705 -4.186 -4.037 -2.307 -1.857 -4.478 2.229 0.217" Properties=species:S:1:pos:R:3 comment="KMgAs2, single point on PBEsol structure, DFT SCAN" e_form_ev_per_atom=-0.06 sg="Fm-3m, No. 225" magmom_total_mub_per_cell=0.00 n_ef_per_ev_fu=1.98 pbc="T T T"
As -2.667 0.407 -1.457
As -8.001 1.220 -4.370
K 0.000 0.000 0.000
Mg -5.334 0.814 -2.913

---

# 20
3
Lattice="4.762 0.000 0.000 2.381 4.124 0.000 2.381 1.375 3.888" Properties=species:S:1:pos:R:3 comment="OsPbCl, single point on PBEsol structure, DFT SCAN" sg="F-43m, No. 216" magmom_total_mub_per_cell=2.71 formation_energy_uncorrected_mev_per_atom=1366.4 n_ef_per_ev_fu=1.07 pbc="T T T"
Pb 2.381 1.375 0.972
Os 4.762 2.749 1.944
Cl 0.000 0.000 0.000